No. 1
CuReSO: relaxed, PBE.

**Spin magnetization**: 0.0 μB/cell
**Space-group type**: No. 129
**Total energy**: -50.36 eV/cell
**Calculated density**: 9.07 g/cm³

Structure (extended XYZ):
```
8
Lattice="3.2507 0.0000 0.0000 0.0000 3.2507 0.0000 0.0000 0.0000 10.3228" Properties=species:S:1:pos:R:3 pbc="T T T"
Cu 0.8127 2.4380 0.0000
Cu 2.4380 0.8127 0.0000
Re 0.8127 0.8127 3.8197
Re 2.4380 2.4380 6.5031
S 0.8127 0.8127 7.7632
S 2.4380 2.4380 2.5595
O 0.8127 2.4380 5.1614
O 2.4380 0.8127 5.1614
```

***

No. 2
NaLi2AsRh: relaxed, PBE.

**Spin magnetization**: 0.0 μB/cell
**Space-group type**: No. 123
**Total energy**: -18.29 eV/cell
**Calculated density**: 3.32 g/cm³

Structure (extended XYZ):
```
5
Lattice="4.8129 0.0000 0.0000 0.0000 4.8129 0.0000 0.0000 0.0000 4.6294" Properties=species:S:1:pos:R:3 pbc="T T T"
Na 0.0000 0.0000 0.0000
Li 0.0000 2.4065 2.3147
Li 2.4065 0.0000 2.3147
As 2.4065 2.4065 2.3147
Rh 2.4065 2.4065 0.0000
```

***

No. 3
La3Tb2ErTe6: relaxed, PBE.

**Spin magnetization**: 0.0 μB/cell
**Space-group type**: No. 12
**Total energy**: -64.77 eV/cell
**Calculated density**: 7.32 g/cm³

Structure (extended XYZ):
```
12
Lattice="9.7730 -2.2156 0.0000 9.7730 2.2156 0.0000 -2.2370 0.0000 8.7316" Properties=species:S:1:pos:R:3 pbc="T T T"
La 0.0000 0.0000 0.0000
La 4.9965 0.0000 5.8218
La 12.3126 0.0000 2.9099
Tb 6.1282 0.0000 1.4464
Tb 11.1808 0.0000 7.2853
Er -1.1185 0.0000 4.3658
Te 1.8336 0.0000 5.1581
Te 3.1494 0.0000 0.6497
Te 9.1271 0.0000 2.2888
Te 8.1819 0.0000 6.4428
Te 14.1596 0.0000 8.0819
Te 15.4755 0.0000 3.5735
```

***

No. 4
ZrTlSeBr2: relaxed, PBE.

**Spin magnetization**: 2.2 μB/cell
**Space-group type**: No. 123
**Total energy**: -15.90 eV/cell
**Calculated density**: 5.20 g/cm³
**Energy relative to the lowest polymorph listed for this composition**: 1279 meV/atom

Structure (extended XYZ):
```
5
Lattice="5.6242 0.0000 0.0000 0.0000 5.6242 0.0000 0.0000 0.0000 5.3922" Properties=species:S:1:pos:R:3 pbc="T T T"
Zr 0.0000 0.0000 0.0000
Tl 2.8121 2.8121 2.6961
Se 2.8121 2.8121 0.0000
Br 0.0000 2.8121 2.6961
Br 2.8121 0.0000 2.6961
```

***

No. 5
CsTlC: relaxed, PBE.

**Spin magnetization**: 1.7 μB/cell
**Space-group type**: No. 62
**Total energy**: -35.74 eV/cell
**Calculated density**: 6.20 g/cm³

Structure (extended XYZ):
```
12
Lattice="8.1750 0.0000 0.0000 0.0000 4.0575 0.0000 0.0000 0.0000 11.2881" Properties=species:S:1:pos:R:3 pbc="T T T"
Cs 0.0540 1.0144 2.2647
Cs 4.0335 3.0431 7.9088
Cs 4.1415 1.0144 3.3794
Cs 8.1210 3.0431 9.0234
Tl 1.2707 3.0431 5.3881
Tl 2.8168 1.0144 11.0322
Tl 5.3582 3.0431 0.2559
Tl 6.9043 1.0144 5.9000
C 1.3184 1.0144 6.4294
C 2.7691 3.0431 0.7854
C 5.4059 1.0144 10.5027
C 6.8566 3.0431 4.8587
```

***

No. 6
CaTh2Ge3Pt4: relaxed, PBE.

**Spin magnetization**: 0.0 μB/cell
**Space-group type**: No. 115
**Total energy**: -63.55 eV/cell
**Calculated density**: 12.06 g/cm³

Structure (extended XYZ):
```
10
Lattice="4.2586 0.0000 0.0000 0.0000 4.2586 0.0000 0.0000 0.0000 11.4112" Properties=species:S:1:pos:R:3 pbc="T T T"
Ca 0.0000 0.0000 0.0000
Th 0.0000 2.1293 8.2543
Th 2.1293 0.0000 3.1568
Ge 0.0000 2.1293 4.3075
Ge 2.1293 0.0000 7.1037
Ge 2.1293 2.1293 0.0000
Pt 0.0000 0.0000 5.7056
Pt 0.0000 2.1293 1.8514
Pt 2.1293 0.0000 9.5598
Pt 2.1293 2.1293 5.7056
```

***

No. 7
Rb2La2BiO6: relaxed, PBE.

**Spin magnetization**: 0.9 μB/cell
**Space-group type**: No. 12
**Total energy**: -69.40 eV/cell
**Calculated density**: 5.33 g/cm³

Structure (extended XYZ):
```
11
Lattice="3.1835 -5.4759 0.0000 3.1835 5.4759 0.0000 -1.9343 0.0000 6.7377" Properties=species:S:1:pos:R:3 pbc="T T T"
Rb 3.1835 3.6919 0.0000
Rb 3.1835 -3.6919 0.0000
La 2.2163 1.8104 3.3689
La 2.2163 -1.8104 3.3689
Bi -0.9672 0.0000 3.3689
O 0.0338 1.7959 4.5156
O 0.9911 0.0000 2.1884
O 0.0338 -1.7959 4.5156
O 4.3989 1.7959 2.2221
O 3.4416 0.0000 4.5493
O 4.3989 -1.7959 2.2221
```

***

No. 8
Rb2CdP2S6: relaxed, PBE.

**Spin magnetization**: 0.0 μB/cell
**Space-group type**: No. 12
**Total energy**: -45.43 eV/cell
**Calculated density**: 2.92 g/cm³

Structure (extended XYZ):
```
11
Lattice="6.5876 -3.3657 0.0000 6.5876 3.3657 0.0000 -2.2749 0.0000 6.8977" Properties=species:S:1:pos:R:3 pbc="T T T"
Rb 2.3156 0.0000 1.3887
Rb 8.5847 0.0000 5.5091
Cd -1.1375 0.0000 3.4489
P 4.4551 0.0000 5.7282
P 6.4452 0.0000 1.1695
S 5.3068 1.7006 1.4055
S 5.5935 1.7006 5.4923
S 2.6622 0.0000 4.8581
S 8.2381 0.0000 2.0397
S 5.3068 -1.7006 1.4055
S 5.5935 -1.7006 5.4923
```

***

No. 9
Ac2Pr4Er: relaxed, PBE.

**Spin magnetization**: 1.6 μB/cell
**Space-group type**: No. 139
**Total energy**: -55.97 eV/cell
**Calculated density**: 6.44 g/cm³
**Energy relative to the lowest polymorph listed for this composition**: 524 meV/atom

Structure (extended XYZ):
```
14
Lattice="5.7596 0.0000 0.0000 0.0000 5.7596 0.0000 0.0000 0.0000 18.4304" Properties=species:S:1:pos:R:3 pbc="T T T"
Ac 0.0000 0.0000 2.3360
Ac 0.0000 0.0000 16.0943
Ac 2.8798 2.8798 6.8791
Ac 2.8798 2.8798 11.5512
Pr 0.0000 0.0000 5.9727
Pr 0.0000 0.0000 12.4577
Pr 0.0000 2.8798 0.0000
Pr 0.0000 2.8798 9.2152
Pr 2.8798 0.0000 0.0000
Pr 2.8798 0.0000 9.2152
Pr 2.8798 2.8798 3.2425
Pr 2.8798 2.8798 15.1878
Er 0.0000 0.0000 9.2152
Er 2.8798 2.8798 0.0000
```

***

No. 10
Fe2Rh8W: relaxed, PBE.

**Spin magnetization**: 5.0 μB/cell
**Space-group type**: No. 65
**Total energy**: -87.84 eV/cell
**Calculated density**: 11.64 g/cm³

Structure (extended XYZ):
```
11
Lattice="3.9331 -5.0366 0.0000 3.9331 5.0366 0.0000 0.0000 0.0000 4.0294" Properties=species:S:1:pos:R:3 pbc="T T T"
Fe 3.9331 3.8795 0.0000
Fe 3.9331 -3.8795 0.0000
Rh 1.3279 0.0000 2.0147
Rh 2.5965 1.3401 0.0000
Rh 3.9331 2.6035 2.0147
Rh 2.5965 -1.3401 0.0000
Rh 5.2697 1.3401 0.0000
Rh 3.9331 -2.6035 2.0147
Rh 5.2697 -1.3401 0.0000
Rh 6.5384 0.0000 2.0147
W 3.9331 0.0000 2.0147
```

***

No. 11
AcLuCuHg: relaxed, PBE.

**Spin magnetization**: 0.0 μB/cell
**Space-group type**: No. 216
**Total energy**: -55.80 eV/cell
**Calculated density**: 10.38 g/cm³

Structure (extended XYZ):
```
16
Lattice="7.5258 0.0000 0.0000 0.0000 7.5258 0.0000 0.0000 0.0000 7.5258" Properties=species:S:1:pos:R:3 pbc="T T T"
Ac 0.0000 0.0000 0.0000
Ac 0.0000 3.7629 3.7629
Ac 3.7629 0.0000 3.7629
Ac 3.7629 3.7629 0.0000
Lu 0.0000 0.0000 3.7629
Lu 0.0000 3.7629 0.0000
Lu 3.7629 0.0000 0.0000
Lu 3.7629 3.7629 3.7629
Cu 1.8814 1.8814 1.8814
Cu 1.8814 5.6443 5.6443
Cu 5.6443 1.8814 5.6443
Cu 5.6443 5.6443 1.8814
Hg 1.8814 1.8814 5.6443
Hg 1.8814 5.6443 1.8814
Hg 5.6443 1.8814 1.8814
Hg 5.6443 5.6443 5.6443
```

***

No. 12
AcTbThSn: relaxed, PBE.

**Spin magnetization**: 0.0 μB/cell
**Space-group type**: No. 216
**Total energy**: -82.17 eV/cell
**Calculated density**: 9.74 g/cm³

Structure (extended XYZ):
```
16
Lattice="7.9504 0.0000 0.0000 0.0000 7.9504 0.0000 0.0000 0.0000 7.9504" Properties=species:S:1:pos:R:3 pbc="T T T"
Ac 0.0000 0.0000 0.0000
Ac 0.0000 3.9752 3.9752
Ac 3.9752 0.0000 3.9752
Ac 3.9752 3.9752 0.0000
Tb 1.9876 1.9876 1.9876
Tb 1.9876 5.9628 5.9628
Tb 5.9628 1.9876 5.9628
Tb 5.9628 5.9628 1.9876
Th 1.9876 1.9876 5.9628
Th 1.9876 5.9628 1.9876
Th 5.9628 1.9876 1.9876
Th 5.9628 5.9628 5.9628
Sn 0.0000 0.0000 3.9752
Sn 0.0000 3.9752 0.0000
Sn 3.9752 0.0000 0.0000
Sn 3.9752 3.9752 3.9752
```